Density functional theory data (PBE) for a relaxed CsK2Au2I6 crystal.

Values from the calculation:
ΔE_f (raw) ... -8.66 eV per formula unit
Volume ... 48.162 A^3/atom

a b c (Å): 7.9810 7.3116 11.5530
angles (deg): 106.91 90.00 123.08
Closest atoms and distances in Å follow each position.
Fractional coordinates of all 11 atoms:
Cs 0.5000 0.0000 0.5000  6 I 3.86-4.09
K 0.6889 0.3778 0.1379  7 I 3.59-3.79, 1 Au 4.00
K 0.3111 0.6222 0.8621  7 I 3.59-3.79, 1 Au 4.00
Au 0.9655 0.9309 0.6916  3 I 2.65-2.72
Au 0.0345 0.0691 0.3084  3 I 2.65-2.72
I 0.8040 0.6080 0.4689  1 Au 2.65
I 0.2045 0.8694 0.1667  1 Au 2.72
I 0.3351 0.1306 0.8333  1 Au 2.72
I 0.7955 0.1306 0.8333  1 Au 2.72
I 0.6649 0.8694 0.1667  1 Au 2.72
I 0.1960 0.3920 0.5311  1 Au 2.65


Density functional theory data (PBE) for a relaxed Ga3Ge2Pd8 crystal.

Values from the calculation:
VASP energy ... -4.946 eV per atom
Volume ... 17.625 A^3/atom

a b c (Å): 7.2584 5.6818 6.9367
angles (deg): 114.18 115.90 90.00
Closest atoms and distances in Å follow each position.
Fractional coordinates of all 13 atoms:
Ga 0.5000 0.0000 0.0000  6 Pd 2.45-2.55
Ga 0.0000 0.2676 0.0000  6 Pd 2.60-2.67, 1 Ga 2.64
Ga 0.0000 0.7324 0.0000  6 Pd 2.60-2.67, 1 Ga 2.64
Ge 0.2839 0.2387 0.4774  6 Pd 2.42-2.51
Ge 0.7161 0.7613 0.5226  6 Pd 2.42-2.51
Pd 0.7982 0.5968 0.1936  1 Ge 2.42, 2 Ga 2.67
Pd 0.2018 0.4032 0.8064  1 Ge 2.42, 2 Ga 2.67
Pd 0.8974 0.1299 0.2598  1 Ge 2.46, 3 Ga 2.55-2.60
Pd 0.1026 0.8701 0.7402  1 Ge 2.46, 3 Ga 2.55-2.60
Pd 0.5935 0.6212 0.7534  2 Ga 2.45-2.60, 2 Ge 2.50-2.51
Pd 0.5935 0.1323 0.7534  2 Ga 2.45-2.60, 2 Ge 2.50-2.51
Pd 0.4065 0.8677 0.2466  2 Ga 2.45-2.60, 2 Ge 2.50-2.51
Pd 0.4065 0.3788 0.2466  2 Ga 2.45-2.60, 2 Ge 2.50-2.51


Density functional theory data (PBE) for a relaxed AcHoAg4 crystal.

Values from the calculation:
Energy above the most stable polymorph in this dataset ... 0.000 eV/atom
Volume ... 24.765 A^3/atom

a b c (Å): 3.6877 4.8713 8.2715
angles (deg): 90.00 90.00 90.00
Closest atoms and distances in Å follow each position.
Fractional coordinates of all 6 atoms:
Ac 0.9986 0.9973 0.4981  12 Ag 3.35-3.39, 2 Ac 3.69
Ho 0.9986 0.4973 0.9981  12 Ag 3.25-3.34
Ag 0.4986 0.9973 0.1599  3 Ag 2.68-2.78
Ag 0.4985 0.9973 0.8364  3 Ag 2.68-2.78
Ag 0.4987 0.4973 0.6749  3 Ag 2.78-2.92
Ag 0.4986 0.4973 0.3214  3 Ag 2.78-2.92